--- P ---
Below is crystalline FeTe2Ru at its relaxed geometry, with properties calculated at the PBE-GGA level.

volume = 22.9 A^3/atom

CIF file:
```
data_FeTe2Ru
_chemical_formula_sum 'Fe2 Te4 Ru2'
_space_group_name_H-M_alt 'C 1 m 1'
_space_group_IT_number 8
_cell_length_a 7.699
_cell_length_b 3.681
_cell_length_c 6.818
_cell_angle_alpha 90.00
_cell_angle_beta 108.35
_cell_angle_gamma 90.00
loop_
_space_group_symop_operation_xyz
'x,y,z'
'x,-y,z'
'x+1/2,y+1/2,z'
'x+1/2,-y+1/2,z'
loop_
_atom_site_label
_atom_site_fract_x
_atom_site_fract_y
_atom_site_fract_z
_atom_site_occupancy
Fe1 0.000 0.000 0.000 1
Te1 0.017 0.500 0.666 1
Te2 0.257 0.500 0.192 1
Ru1 0.273 0.000 0.887 1
```

***

--- Q ---
Below is crystalline FeTe2Ru at its relaxed geometry, with properties calculated at the PBE-GGA level.

volume = 24.1 A^3/atom

CIF file:
```
data_FeTe2Ru
_chemical_formula_sum 'Fe4 Te8 Ru4'
_space_group_name_H-M_alt 'I -4 2 d'
_space_group_IT_number 122
_space_group_name_Hall 'I -4 2bw'
_cell_length_a 5.774
_cell_length_b 5.774
_cell_length_c 11.580
_cell_angle_alpha 90.00
_cell_angle_beta 90.00
_cell_angle_gamma 90.00
loop_
_atom_site_label
_atom_site_fract_x
_atom_site_fract_y
_atom_site_fract_z
_atom_site_occupancy
Fe1 0.000 0.000 0.000 1
Te1 0.234 0.250 0.125 1
Ru1 0.000 0.000 0.500 1
```

***

List of relative energies, unit kJ/mol of atoms: P 0.0; Q 25.1

***

--- P ---
Below is crystalline B5C7 at its relaxed geometry, with properties calculated at the PBE-GGA level.

volume = 6.4 A^3/atom

CIF file:
```
data_B5C7
_chemical_formula_sum 'B10 C14'
_space_group_name_H-M_alt 'C 1 m 1'
_space_group_IT_number 8
_cell_length_a 12.294
_cell_length_b 2.685
_cell_length_c 4.679
_cell_angle_alpha 90.00
_cell_angle_beta 97.55
_cell_angle_gamma 90.00
loop_
_space_group_symop_operation_xyz
'x,y,z'
'x,-y,z'
'x+1/2,y+1/2,z'
'x+1/2,-y+1/2,z'
loop_
_atom_site_label
_atom_site_fract_x
_atom_site_fract_y
_atom_site_fract_z
_atom_site_occupancy
B1 0.000 0.000 0.000 1
B2 0.002 0.500 0.499 1
B3 0.155 0.000 0.723 1
B4 0.358 0.000 0.133 1
B5 0.366 0.500 0.630 1
C1 0.013 0.000 0.670 1
C2 0.026 0.500 0.174 1
C3 0.158 0.500 0.222 1
C4 0.199 0.000 0.399 1
C5 0.201 0.500 0.918 1
C6 0.326 0.000 0.456 1
C7 0.327 0.500 0.958 1
```

***

--- Q ---
Below is crystalline B5C7 at its relaxed geometry, with properties calculated at the PBE-GGA level.

volume = 6.5 A^3/atom

CIF file:
```
data_B5C7
_chemical_formula_sum 'B5 C7'
_space_group_name_H-M_alt 'P 3 m 1'
_space_group_IT_number 156
_cell_length_a 2.5375
_cell_length_b 2.5375
_cell_length_c 13.9571
_cell_angle_alpha 90.00
_cell_angle_beta 90.00
_cell_angle_gamma 120.00
loop_
_space_group_symop_operation_xyz
'x,y,z'
'-y,x-y,z'
'-x+y,-x,z'
'-y,-x,z'
'-x+y,y,z'
'x,x-y,z'
loop_
_atom_site_label
_atom_site_fract_x
_atom_site_fract_y
_atom_site_fract_z
_atom_site_occupancy
B1 0.0000 0.0000 0.0000 1
B2 0.0000 0.0000 0.1213 1
B3 0.0000 0.0000 0.5797 1
B4 0.3333 0.6667 0.6551 1
B5 0.6667 0.3333 0.9199 1
C1 0.0000 0.0000 0.4665 1
C2 0.3333 0.6667 0.1727 1
C3 0.3333 0.6667 0.2800 1
C4 0.3333 0.6667 0.7685 1
C5 0.6667 0.3333 0.3185 1
C6 0.6667 0.3333 0.4289 1
C7 0.6667 0.3333 0.8065 1
```

***

List of relative energies, unit kJ/mol of atoms: P 0.0; Q 8.9

***

--- P ---
Below is crystalline BeRhBr2 at its relaxed geometry, with properties calculated at the PBE-GGA level.

volume = 17.8 A^3/atom

CIF file:
```
data_BeRhBr2
_chemical_formula_sum 'Be4 Rh4 Br8'
_space_group_name_H-M_alt 'F m -3 m'
_space_group_IT_number 225
_space_group_name_Hall '-F 4 2 3'
_cell_length_a 6.582
_cell_length_b 6.582
_cell_length_c 6.582
_cell_angle_alpha 90.00
_cell_angle_beta 90.00
_cell_angle_gamma 90.00
loop_
_atom_site_label
_atom_site_fract_x
_atom_site_fract_y
_atom_site_fract_z
_atom_site_occupancy
Be1 0.000 0.000 0.000 1
Rh1 0.000 0.000 0.500 1
Br1 0.250 0.250 0.250 1
```

***

--- Q ---
Below is crystalline BeRhBr2 at its relaxed geometry, with properties calculated at the PBE-GGA level.

volume = 18.7 A^3/atom

CIF file:
```
data_BeRhBr2
_chemical_formula_sum 'Be3 Rh3 Br6'
_space_group_name_H-M_alt 'R -3 m'
_space_group_IT_number 166
_space_group_name_Hall '-R 3 2"'
_cell_length_a 3.3636
_cell_length_b 3.3636
_cell_length_c 22.9094
_cell_angle_alpha 90.00
_cell_angle_beta 90.00
_cell_angle_gamma 120.00
loop_
_atom_site_label
_atom_site_fract_x
_atom_site_fract_y
_atom_site_fract_z
_atom_site_occupancy
Be1 0.0000 0.0000 0.0000 1
Rh1 0.0000 0.0000 0.5000 1
Br1 0.0000 0.0000 0.3938 1
```

***

List of relative energies, unit kJ/mol of atoms: P 51.4; Q 0.0

***

--- P ---
Below is crystalline Tc2AsPb at its relaxed geometry, with properties calculated at the PBE-GGA level.

volume = 16.9 A^3/atom

CIF file:
```
data_Tc2AsPb
_chemical_formula_sum 'Tc2 As1 Pb1'
_space_group_name_H-M_alt 'P 4/m m m'
_space_group_IT_number 123
_space_group_name_Hall '-P 4 2'
_cell_length_a 3.163
_cell_length_b 3.163
_cell_length_c 6.760
_cell_angle_alpha 90.00
_cell_angle_beta 90.00
_cell_angle_gamma 90.00
loop_
_atom_site_label
_atom_site_fract_x
_atom_site_fract_y
_atom_site_fract_z
_atom_site_occupancy
Tc1 0.000 0.000 0.209 1
As1 0.500 0.500 0.000 1
Pb1 0.500 0.500 0.500 1
```

***

--- Q ---
Below is crystalline Tc2AsPb at its relaxed geometry, with properties calculated at the PBE-GGA level.

volume = 17.9 A^3/atom

CIF file:
```
data_Tc2AsPb
_chemical_formula_sum 'Tc2 As1 Pb1'
_space_group_name_H-M_alt 'P 1 2/m 1'
_space_group_IT_number 10
_cell_length_a 3.132
_cell_length_b 3.892
_cell_length_c 6.003
_cell_angle_alpha 90.00
_cell_angle_beta 102.26
_cell_angle_gamma 90.00
loop_
_space_group_symop_operation_xyz
'x,y,z'
'-x,-y,-z'
'-x,y,-z'
'x,-y,z'
loop_
_atom_site_label
_atom_site_fract_x
_atom_site_fract_y
_atom_site_fract_z
_atom_site_occupancy
Tc1 0.167 0.000 0.293 1
As1 0.000 0.500 0.500 1
Pb1 0.500 0.500 0.000 1
```

***

List of relative energies, unit kJ/mol of atoms: P 0.0; Q 8.8